First-principles (PBE) data for a relaxed structure of AgPtCl3, as listed in OQMD via LeMat-Bulk.

Lattice parameters (Å, degrees): 4.9667 4.9667 4.9182 90.00 90.00 90.00
Fractional positions:
Ag (0.0000, 0.0000, 0.0000)
Pt (0.5000, 0.5000, 0.7234)
Cl (0.0000, 0.5000, 0.7575)
Cl (0.5000, 0.0000, 0.7575)
Cl (0.5000, 0.5000, 0.2268)

Crystal system: tetragonal
Energy above the most stable polymorph in this dataset in meV/atom: 68
Total moment in μB per formula unit: 0.00

First-principles (PBE) data for a relaxed structure of AgPtCl3, as listed in OQMD via LeMat-Bulk.

Lattice parameters (Å, degrees): 6.8210 6.8210 6.8210 58.27 58.27 58.27
Fractional positions:
Ag (0.2500, 0.2500, 0.2500)
Ag (0.7500, 0.7500, 0.7500)
Pt (0.0000, 0.0000, 0.0000)
Pt (0.5000, 0.5000, 0.5000)
Cl (0.1395, 0.7500, 0.3605)
Cl (0.2500, 0.6395, 0.8605)
Cl (0.3605, 0.1395, 0.7500)
Cl (0.6395, 0.8605, 0.2500)
Cl (0.7500, 0.3605, 0.1395)
Cl (0.8605, 0.2500, 0.6395)

Crystal system: trigonal
Energy above the most stable polymorph in this dataset in meV/atom: 0
Total moment in μB per formula unit: 0.00

First-principles (PBE) data for a relaxed structure of AgPtCl6, as listed in OQMD via LeMat-Bulk.

Lattice parameters (Å, degrees): 6.6552 6.6552 6.6552 60.00 60.00 60.00
Fractional positions:
Ag (0.0000, 0.0000, 0.0000)
Pt (0.2500, 0.2500, 0.2500)
Cl (0.0037, 0.0037, 0.4963)
Cl (0.0037, 0.4963, 0.0037)
Cl (0.0037, 0.4963, 0.4963)
Cl (0.4963, 0.0037, 0.0037)
Cl (0.4963, 0.0037, 0.4963)
Cl (0.4963, 0.4963, 0.0037)

Crystal system: cubic
Energy above the most stable polymorph in this dataset in meV/atom: 112
Total moment in μB per formula unit: 1.05

First-principles (PBE) data for a relaxed structure of PuAg2Cl6, as listed in OQMD via LeMat-Bulk.

Lattice parameters (Å, degrees): 6.3984 6.3984 11.8849 90.00 90.00 90.00
Fractional positions:
Pu (0.0000, 0.0000, 0.0000)
Pu (0.5000, 0.5000, 0.5000)
Ag (0.0000, 0.0000, 0.3322)
Ag (0.0000, 0.0000, 0.6678)
Ag (0.5000, 0.5000, 0.1678)
Ag (0.5000, 0.5000, 0.8322)
Cl (0.2010, 0.2010, 0.1596)
Cl (0.2010, 0.2010, 0.8404)
Cl (0.2104, 0.2104, 0.5000)
Cl (0.2895, 0.7104, 0.0000)
Cl (0.2990, 0.7010, 0.3404)
Cl (0.2990, 0.7010, 0.6596)
Cl (0.7010, 0.2990, 0.3404)
Cl (0.7010, 0.2990, 0.6596)
Cl (0.7104, 0.2895, 0.0000)
Cl (0.7896, 0.7896, 0.5000)
Cl (0.7990, 0.7990, 0.1596)
Cl (0.7990, 0.7990, 0.8404)

Crystal system: tetragonal
Total moment in μB per formula unit: 3.99
Raw total energy in eV/cell: -82.48

First-principles (PBE) data for a relaxed structure of Rb2PuAgCl6, as listed in OQMD via LeMat-Bulk.

Lattice parameters (Å, degrees): 7.6179 7.6179 7.6179 121.52 121.52 87.39
Fractional positions:
Rb (0.2500, 0.7500, 0.5000)
Rb (0.7500, 0.2500, 0.5000)
Pu (0.0000, 0.0000, 0.0000)
Ag (0.5000, 0.5000, 0.0000)
Cl (0.1865, 0.3112, 0.4977)
Cl (0.2458, 0.2458, 0.0000)
Cl (0.3112, 0.8135, 0.1247)
Cl (0.6888, 0.1865, 0.8753)
Cl (0.7542, 0.7542, 0.0000)
Cl (0.8135, 0.6888, 0.5023)

Crystal system: tetragonal
Total moment in μB per formula unit: 4.83
Raw total energy in eV/cell: -46.78

First-principles (PBE) data for a relaxed structure of Rb2AgCl6, as listed in OQMD via LeMat-Bulk.

Lattice parameters (Å, degrees): 6.9104 6.9104 6.0830 90.05 90.05 59.68
Fractional positions:
Rb (0.1677, 0.1677, 0.2507)
Rb (0.8323, 0.8323, 0.7493)
Ag (0.5000, 0.5000, 0.5000)
Cl (0.1571, 0.6739, 0.2732)
Cl (0.3261, 0.8429, 0.7268)
Cl (0.3303, 0.3303, 0.7222)
Cl (0.6697, 0.6697, 0.2778)
Cl (0.6739, 0.1571, 0.2732)
Cl (0.8429, 0.3261, 0.7268)

Crystal system: monoclinic
Raw total energy in eV/cell: -24.04

First-principles (PBE) data for a relaxed structure of Rb2AgSnCl6, as listed in OQMD via LeMat-Bulk.

Lattice parameters (Å, degrees): 7.4584 7.4625 10.5688 90.02 90.00 90.00
Fractional positions:
Rb (0.0000, 0.0000, 0.0000)
Rb (0.0001, 0.9997, 0.5004)
Rb (0.5000, 0.4996, 0.0002)
Rb (0.5000, 0.4996, 0.5001)
Ag (0.9999, 0.4994, 0.2502)
Ag (0.5001, 0.0000, 0.7502)
Sn (0.0001, 0.5001, 0.7502)
Sn (0.5000, 0.9994, 0.2502)
Cl (0.0014, 0.5002, 0.5014)
Cl (0.2446, 0.7566, 0.2492)
Cl (0.2461, 0.2478, 0.7507)
Cl (0.2526, 0.7457, 0.7511)
Cl (0.2569, 0.2545, 0.2498)
Cl (0.4987, 0.9988, 0.4990)
Cl (0.5013, 0.0000, 0.0014)
Cl (0.7429, 0.7442, 0.2505)
Cl (0.7476, 0.2543, 0.7493)
Cl (0.7543, 0.7524, 0.7497)
Cl (0.7554, 0.2422, 0.2512)
Cl (0.9986, 0.4997, 0.9990)

Crystal system: triclinic
Energy above the most stable polymorph in this dataset in meV/atom: 2

First-principles (PBE) data for a relaxed structure of Rb2AgSnCl6, as listed in OQMD via LeMat-Bulk.

Lattice parameters (Å, degrees): 7.4817 7.4817 7.4817 120.97 120.97 88.32
Fractional positions:
Rb (0.2500, 0.7500, 0.5000)
Rb (0.7500, 0.2500, 0.5000)
Ag (0.0000, 0.0000, 0.0000)
Sn (0.5000, 0.5000, 0.0000)
Cl (0.2031, 0.7009, 0.9040)
Cl (0.2534, 0.2534, 0.0000)
Cl (0.2991, 0.2031, 0.5021)
Cl (0.7009, 0.7969, 0.4979)
Cl (0.7466, 0.7466, 0.0000)
Cl (0.7969, 0.2991, 0.0960)

Crystal system: tetragonal
Energy above the most stable polymorph in this dataset in meV/atom: 1

First-principles (PBE) data for a relaxed structure of Rb2AgSnCl6, as listed in OQMD via LeMat-Bulk.

Lattice parameters (Å, degrees): 7.4172 7.4256 12.8830 90.00 125.00 90.00
Fractional positions:
Rb (0.2424, 0.0333, 0.2492)
Rb (0.2424, 0.4667, 0.7492)
Rb (0.7576, 0.5333, 0.2508)
Rb (0.7576, 0.9667, 0.7508)
Ag (0.0000, 0.0000, 0.5000)
Ag (0.0000, 0.5000, 0.0000)
Sn (0.5000, 0.0000, 0.0000)
Sn (0.5000, 0.5000, 0.5000)
Cl (0.1922, 0.2154, 0.9734)
Cl (0.1922, 0.2846, 0.4734)
Cl (0.2633, 0.7171, 0.9774)
Cl (0.2633, 0.7829, 0.4774)
Cl (0.2997, 0.5014, 0.2519)
Cl (0.2997, 0.9986, 0.7519)
Cl (0.7003, 0.0014, 0.2481)
Cl (0.7003, 0.4986, 0.7481)
Cl (0.7367, 0.2171, 0.5226)
Cl (0.7367, 0.2829, 0.0226)
Cl (0.8078, 0.7154, 0.5266)
Cl (0.8078, 0.7846, 0.0266)

Crystal system: monoclinic
Energy above the most stable polymorph in this dataset in meV/atom: 1

First-principles (PBE) data for a relaxed structure of Rb2AgSnCl6, as listed in OQMD via LeMat-Bulk.

Lattice parameters (Å, degrees): 7.4240 7.4623 12.9111 90.00 125.08 90.00
Fractional positions:
Rb (0.2414, 0.0389, 0.2496)
Rb (0.2414, 0.4611, 0.7496)
Rb (0.7586, 0.5389, 0.2504)
Rb (0.7586, 0.9611, 0.7504)
Ag (0.0000, 0.0000, 0.5000)
Ag (0.0000, 0.5000, 0.0000)
Sn (0.5000, 0.0000, 0.0000)
Sn (0.5000, 0.5000, 0.5000)
Cl (0.1905, 0.2135, 0.9730)
Cl (0.1905, 0.2865, 0.4730)
Cl (0.2633, 0.7161, 0.9757)
Cl (0.2633, 0.7839, 0.4757)
Cl (0.3013, 0.0022, 0.7518)
Cl (0.3013, 0.4978, 0.2518)
Cl (0.6987, 0.5022, 0.7482)
Cl (0.6987, 0.9978, 0.2482)
Cl (0.7367, 0.2161, 0.5243)
Cl (0.7367, 0.2839, 0.0243)
Cl (0.8095, 0.7135, 0.5270)
Cl (0.8095, 0.7865, 0.0270)

Crystal system: monoclinic
Energy above the most stable polymorph in this dataset in meV/atom: 0

First-principles (PBE) data for a relaxed structure of Rb2AgSnCl6, as listed in OQMD via LeMat-Bulk.

Lattice parameters (Å, degrees): 7.4614 7.4614 7.4609 119.96 119.96 60.04
Fractional positions:
Rb (0.2499, 0.2499, 0.2500)
Rb (0.7501, 0.7501, 0.7500)
Ag (0.0000, 0.0000, 0.5000)
Sn (0.5000, 0.5000, 0.0000)
Cl (0.2512, 0.2512, 0.7503)
Cl (0.2507, 0.7480, 0.2482)
Cl (0.2520, 0.7493, 0.7518)
Cl (0.7480, 0.2507, 0.2482)
Cl (0.7493, 0.2520, 0.7518)
Cl (0.7488, 0.7488, 0.2497)

Crystal system: monoclinic
Energy above the most stable polymorph in this dataset in meV/atom: 2

First-principles (PBE) data for a relaxed structure of Rb2SrAgCl6, as listed in OQMD via LeMat-Bulk.

Lattice parameters (Å, degrees): 7.6442 7.6442 7.6442 60.00 60.00 60.00
Fractional positions:
Rb (0.2500, 0.2500, 0.2500)
Rb (0.7500, 0.7500, 0.7500)
Sr (0.0000, 0.0000, 0.0000)
Ag (0.5000, 0.5000, 0.5000)
Cl (0.2597, 0.2597, 0.7403)
Cl (0.2597, 0.7403, 0.2597)
Cl (0.2597, 0.7403, 0.7403)
Cl (0.7403, 0.2597, 0.2597)
Cl (0.7403, 0.2597, 0.7403)
Cl (0.7403, 0.7403, 0.2597)

Crystal system: cubic
Raw total energy in eV/cell: -33.26